Density functional theory data (GGA-PBE) for a relaxed Li2Cd7Ag2 crystal.

Values from the calculation:
E above lowest polymorph	0.000	eV/atom
SG	C2/m
calculated formation energy	-0.108	eV/atom
magnetization	0.0	μB per formula unit
electronic total energy	-1.56	eV/atom

Structure (extended XYZ):
```
11
Lattice="4.184 0.255 1.180 1.295 7.498 1.835 0.013 1.473 7.687" Properties=species:S:1:pos:R:3 pbc="T T T"
Li 3.878 7.643 8.719
Li 1.613 1.583 1.983
Cd 1.431 4.540 1.997
Cd 4.682 7.607 5.867
Cd 4.060 4.686 8.705
Cd 0.809 1.619 4.835
Cd 2.309 5.903 6.584
Cd 0.000 0.000 0.000
Cd 3.182 3.323 4.118
Ag 3.091 6.234 3.777
Ag 2.401 2.992 6.925
```